Entry from the Alexandria database: an optimized crystal structure of Ru2WCl (PBE).

Computed properties:
The value obtained for the density of states at the Fermi level is 1.332 states/eV/atom. The value obtained for the volume is 181.86 Å³ per cell. The value obtained for the energy relative to the elements, uncorrected is 0.311 eV per atom. The calculation puts the distance to the lowest polymorph of the same formula at 0.000 eV/atom. For the electronic total energy, the calculation gives -8.03 eV/atom.

Cell lengths 2.8790, 2.8790, 25.3345 Å; angles 90.00, 90.00, 120.00 degrees
Space group R-3m (No. 166, hexagonal axes)
Inequivalent atoms, fractional coordinates:
Ru 0.0000 0.0000 0.2504 (multiplicity 6)
W 0.0000 0.0000 0.5000 (multiplicity 3)
Cl 0.0000 0.0000 0.0000 (multiplicity 3)